The following is a DFT calculation (GGA-PBE) of a relaxed TiCr3Br crystal.

total energy: -32.22 eV for the cell shown
uncorrected formation energy: 1.244 eV per atom
Fermi-level density of states: 3.61 states/eV/cell
relative energy among the computed polymorphs: 0 meV per atom

a = 4.3534 Å, b = 4.3534 Å, c = 4.3534 Å
α = 90.00°, β = 90.00°, γ = 90.00°
Positions (direct):
Ti  0.0000  0.0000  0.0000
Cr  0.0000  0.5000  0.5000
Cr  0.5000  0.0000  0.5000
Cr  0.5000  0.5000  0.0000
Br  0.5000  0.5000  0.5000

The following is a DFT calculation (GGA-PBE) of a relaxed NiRh2 crystal.

energy of formation: 1.7 eV per formula unit
total energy: -37.48 eV for the cell shown
Fermi-level density of states: 13.50 states/eV/cell
relative energy among the computed polymorphs: 543 meV per atom

a = 5.0461 Å, b = 5.0461 Å, c = 5.0461 Å
α = 60.00°, β = 60.00°, γ = 60.00°
Positions (direct):
Ni  0.1250  0.1250  0.1250
Ni  0.8750  0.8750  0.8750
Rh  0.0000  0.5000  0.5000
Rh  0.5000  0.0000  0.5000
Rh  0.5000  0.5000  0.0000
Rh  0.5000  0.5000  0.5000

The following is a DFT calculation (GGA-PBE) of a relaxed BaLaH6Pt2 crystal.

total energy: -88.54 eV for the cell shown
Fermi-level density of states: 3.99 states/eV/cell

a = 6.8264 Å, b = 6.8264 Å, c = 7.8721 Å
α = 117.77°, β = 117.77°, γ = 80.02°
Positions (direct):
Ba  0.1169  0.8831  0.7500
Ba  0.8831  0.1169  0.2500
La  0.3837  0.6163  0.2500
La  0.6163  0.3837  0.7500
H  0.0786  0.7844  0.3478
H  0.1804  0.3226  0.2322
H  0.2156  0.9214  0.1522
H  0.3226  0.1804  0.7322
H  0.3400  0.5854  0.8943
H  0.4146  0.6600  0.6057
H  0.5854  0.3400  0.3943
H  0.6600  0.4146  0.1057
H  0.6774  0.8196  0.2678
H  0.7844  0.0786  0.8478
H  0.8196  0.6774  0.7678
H  0.9214  0.2156  0.6522
Pt  0.1391  0.3917  0.7762
Pt  0.3917  0.1391  0.2762
Pt  0.6083  0.8609  0.7238
Pt  0.8609  0.6083  0.2238

The following is a DFT calculation (GGA-PBE) of a relaxed Ir2PtS2 crystal.

total energy: -58.62 eV for the cell shown
uncorrected formation energy: 0.541 eV per atom
Fermi-level density of states: 5.09 states/eV/cell
relative energy among the computed polymorphs: 0 meV per atom

a = 3.9551 Å, b = 3.9551 Å, c = 10.4467 Å
α = 90.00°, β = 90.00°, γ = 90.00°
Positions (direct):
Ir  0.0000  0.5000  0.2500
Ir  0.0000  0.5000  0.7500
Ir  0.5000  0.0000  0.2500
Ir  0.5000  0.0000  0.7500
Pt  0.0000  0.0000  0.0000
Pt  0.5000  0.5000  0.5000
S  0.0000  0.0000  0.3757
S  0.0000  0.0000  0.6243
S  0.5000  0.5000  0.1243
S  0.5000  0.5000  0.8757

The following is a DFT calculation (GGA-PBE) of a relaxed Sm5Ho4Tm crystal.

energy of formation: 0.4 eV per formula unit
total energy: -45.97 eV for the cell shown
Fermi-level density of states: 14.56 states/eV/cell
relative energy among the computed polymorphs: 0 meV per atom

a = 8.7059 Å, b = 8.7059 Å, c = 11.3766 Å
α = 108.54°, β = 108.54°, γ = 23.49°
Positions (direct):
Sm  0.0000  0.0000  0.0000
Sm  0.2898  0.2898  0.3848
Sm  0.3109  0.3109  0.9223
Sm  0.6891  0.6891  0.0777
Sm  0.7102  0.7102  0.6152
Ho  0.1049  0.1049  0.7951
Ho  0.4180  0.4180  0.7057
Ho  0.5820  0.5820  0.2943
Ho  0.8951  0.8951  0.2049
Tm  0.0000  0.0000  0.5000

The following is a DFT calculation (GGA-PBE) of a relaxed ZnInRe3 crystal.

energy of formation: 15.3 eV per formula unit
total energy: -26.07 eV for the cell shown
Fermi-level density of states: 8.60 states/eV/cell
relative energy among the computed polymorphs: 1113 meV per atom

a = 4.8391 Å, b = 4.8391 Å, c = 4.8391 Å
α = 90.00°, β = 90.00°, γ = 90.00°
Positions (direct):
Zn  0.0000  0.0000  0.0000
In  0.5000  0.5000  0.5000
Re  0.0000  0.5000  0.5000
Re  0.5000  0.0000  0.5000
Re  0.5000  0.5000  0.0000

The following is a DFT calculation (GGA-PBE) of a relaxed PaCuSb2 crystal.

total energy: -22.16 eV for the cell shown
uncorrected formation energy: -0.080 eV per atom
Fermi-level density of states: 3.44 states/eV/cell

a = 3.8591 Å, b = 3.8591 Å, c = 6.2134 Å
α = 90.00°, β = 90.00°, γ = 90.00°
Positions (direct):
Pa  0.0000  0.0000  0.0000
Cu  0.0000  0.0000  0.5000
Sb  0.5000  0.5000  0.2651
Sb  0.5000  0.5000  0.7349

The following is a DFT calculation (GGA-PBE) of a relaxed LaCu2As crystal.

energy of formation: -0.9 eV per formula unit
total energy: -18.71 eV for the cell shown
Fermi-level density of states: 1.92 states/eV/cell

a = 4.2312 Å, b = 4.2312 Å, c = 4.5392 Å
α = 90.00°, β = 90.00°, γ = 90.00°
Positions (direct):
La  0.0000  0.0000  0.0000
Cu  0.0000  0.5000  0.5000
Cu  0.5000  0.0000  0.5000
As  0.5000  0.5000  0.0000

Which value of total energy does entry 6 give? -26.07 eV for the cell shown